# 1
Density functional theory data (GGA-PBE) for crystalline BeAuSeBr2 at its relaxed geometry.

Properties
raw formation energy = 1.2 eV per formula unit
magnetization = 0.0 Bohr magnetons per cell
uncorrected energy = -2.536 eV/atom
DOS(E_F) = 3.43 states/eV/cell

a b c (Å): 4.378 4.378 6.190
angles (deg): 90.00 90.00 90.00
Fractional positions:
Be1 0.000 0.000 0.000
Au1 0.500 0.500 0.500
Se1 0.000 0.000 0.500
Br1 0.000 0.500 0.000
Br2 0.500 0.000 0.000

---

# 2
Density functional theory data (GGA-PBE) for crystalline SrBe2AuBr at its relaxed geometry.

Properties
raw formation energy = -1.4 eV per formula unit
magnetization = 0.0 Bohr magnetons per cell
uncorrected energy = -3.095 eV/atom
DOS(E_F) = 2.28 states/eV/cell

a b c (Å): 4.478 6.267 4.478
angles (deg): 90.00 90.00 90.00
Fractional positions:
Sr1 0.000 0.500 0.000
Au1 0.000 0.000 0.000
Br1 0.500 0.500 0.500
Be1 0.000 0.000 0.500
Be2 0.500 0.000 0.000

---

Question: DOS(E_F) of number 2 (SrBe2AuBr)?
Answer: 2.28 states/eV/cell

---

Question: magnetization of number 1 (BeAuSeBr2)?
Answer: 0.0 Bohr magnetons per cell

---

Repeat the first record exactly.
Density functional theory data (GGA-PBE) for crystalline BeAuSeBr2 at its relaxed geometry.

Properties
raw formation energy = 1.2 eV per formula unit
magnetization = 0.0 Bohr magnetons per cell
uncorrected energy = -2.536 eV/atom
DOS(E_F) = 3.43 states/eV/cell

a b c (Å): 4.378 4.378 6.190
angles (deg): 90.00 90.00 90.00
Fractional positions:
Be1 0.000 0.000 0.000
Au1 0.500 0.500 0.500
Se1 0.000 0.000 0.500
Br1 0.000 0.500 0.000
Br2 0.500 0.000 0.000

---

Question: Among the records above, which one has the lowest raw formation energy?
Answer: SrBe2AuBr